This record from Alexandria describes a geometry-optimized Co2ClO3 structure. The functional is GGA+U.

Properties
Total energy ... -61.38 eV for the cell shown
SG ... No. 166

```
12
Lattice="-3.675 -4.153 1.190 -0.478 -3.835 -4.152 2.508 -4.943 1.207" Properties=species:S:1:pos:R:3 pbc="T T T"
Co -2.077 -3.994 -1.481
Co 1.015 -4.389 -1.473
Co -0.823 -6.466 -0.878
Co -0.584 -4.548 1.198
O -2.203 -7.447 -1.762
O -1.008 -7.890 0.381
O 0.271 -7.763 -1.756
O 0.557 -5.484 0.007
O -0.637 -5.041 -2.137
O -1.917 -5.168 0.000
Cl -0.350 -2.753 -0.374
Cl -1.295 -10.178 -1.382
```